The following is a DFT calculation (PBE) of an optimized crystal structure of LiLaCeHo.

Lattice parameters (Å, degrees): 7.750 7.750 7.750 90.00 90.00 90.00
Space group F-43m (No. 216)
Symmetry-distinct sites (fractional):
Li1 0.000 0.000 0.000 (multiplicity 4)
La1 0.250 0.250 0.750 (multiplicity 4)
Ce1 0.000 0.000 0.500 (multiplicity 4)
Ho1 0.250 0.250 0.250 (multiplicity 4)

Properties
Energy relative to the elements: 271.2 meV per atom
Total magnetic moment: 11.64 μB/cell